Entry 1:
First-principles (PBE) data for a relaxed structure of Ca3Cd4In4, as listed in Alexandria. Values from VASP.

Output
- distance to the lowest polymorph of the same formula (meV/atom) = 16
- energy of formation (meV per atom) = -303
- total moment (μB per cell) = 0.00

The structure in Quantum ESPRESSO input format:
```
&SYSTEM
  ibrav = 0, nat = 11, ntyp = 3
/
ATOMIC_SPECIES
In 114.82 In.upf
Ca 40.08 Ca.upf
Cd 112.41 Cd.upf
ATOMIC_POSITIONS crystal
In 0.2234 0.7234 0.4468
Ca 0.8747 0.8747 0.7495
In 0.5000 0.1850 0.0000
Cd 0.6669 0.4745 0.3338
In 0.7766 0.2766 0.5532
In 0.5000 0.8150 0.0000
Cd 0.3331 0.1407 0.6662
Cd 0.6669 0.8593 0.3338
Ca 0.0000 0.5000 0.0000
Cd 0.3331 0.5255 0.6662
Ca 0.1253 0.1253 0.2505
CELL_PARAMETERS angstrom
4.6919 0.0000 0.0000
0.0000 7.8876 0.0000
-2.3460 -3.9438 8.0411
```


Entry 2:
First-principles (PBE) data for a relaxed structure of PuThCd4, as listed in Alexandria. Values from VASP.

Output
- distance to the lowest polymorph of the same formula (meV/atom) = 0
- energy of formation (meV per atom) = -136
- total moment (μB per cell) = 12.73

The structure in Quantum ESPRESSO input format:
```
&SYSTEM
  ibrav = 0, nat = 12, ntyp = 3
/
ATOMIC_SPECIES
Cd 112.41 Cd.upf
Pu 244.00 Pu.upf
Th 232.04 Th.upf
ATOMIC_POSITIONS crystal
Cd 0.2500 0.2852 0.4162
Pu 0.7500 0.1264 0.2472
Cd 0.2500 0.9604 0.0827
Cd 0.7500 0.7148 0.5838
Cd 0.7500 0.0396 0.9173
Th 0.2500 0.3769 0.7463
Cd 0.7500 0.2014 0.5838
Cd 0.2500 0.4570 0.0827
Cd 0.2500 0.7986 0.4162
Th 0.7500 0.6231 0.2537
Pu 0.2500 0.8736 0.7528
Cd 0.7500 0.5430 0.9173
CELL_PARAMETERS angstrom
5.1690 -0.0015 0.0006
0.0016 6.0529 2.1943
-0.0011 -0.0204 9.5018
```


Entry 3:
First-principles (PBE) data for a relaxed structure of AcH2Pt, as listed in Alexandria. Values from VASP.

Output
- distance to the lowest polymorph of the same formula (meV/atom) = 78
- total moment (μB per cell) = 0.00

The structure in Quantum ESPRESSO input format:
```
&SYSTEM
  ibrav = 0, nat = 16, ntyp = 3
/
ATOMIC_SPECIES
H 1.01 H.upf
Pt 195.08 Pt.upf
Ac 227.00 Ac.upf
ATOMIC_POSITIONS crystal
H 0.0073 0.3173 0.4170
H 0.9927 0.6827 0.5830
H 0.9927 0.8173 0.0830
H 0.4928 0.3174 0.4170
Pt 0.7500 0.3687 0.9632
H 0.0073 0.1827 0.9170
Pt 0.7500 0.1313 0.4632
H 0.5072 0.6826 0.5830
Ac 0.2500 0.1499 0.1845
Ac 0.7500 0.6499 0.3155
Ac 0.2500 0.3501 0.6845
Pt 0.2500 0.6313 0.0368
Pt 0.2500 0.8687 0.5368
H 0.5072 0.8174 0.0830
Ac 0.7500 0.8501 0.8155
H 0.4928 0.1826 0.9170
CELL_PARAMETERS angstrom
-3.3846 2.4932 -1.7689
-3.2686 -5.4370 -1.4089
-3.7733 0.2912 7.6300
```


Entry 4:
First-principles (PBE) data for a relaxed structure of KTiTe2, as listed in Alexandria. Values from VASP.

Output
- total moment (μB per cell) = 1.34
- total energy (eV/atom) = -4.13

The structure in Quantum ESPRESSO input format:
```
&SYSTEM
  ibrav = 0, nat = 4, ntyp = 3
/
ATOMIC_SPECIES
Te 127.60 Te.upf
K 39.10 K.upf
Ti 47.87 Ti.upf
ATOMIC_POSITIONS crystal
Te 0.2500 0.2500 0.2500
K 0.0000 0.0000 0.0000
Te 0.7500 0.7500 0.7500
Ti 0.5000 0.5000 0.5000
CELL_PARAMETERS angstrom
0.0000 3.7706 3.7706
3.7706 0.0000 3.7706
3.7706 3.7706 0.0000
```


Entry 5:
First-principles (PBE) data for a relaxed structure of Nd7Dy2Ho, as listed in Alexandria. Values from VASP.

Output
- distance to the lowest polymorph of the same formula (meV/atom) = 260
- energy of formation (meV per atom) = 638
- total moment (μB per cell) = 0.00

The structure in Quantum ESPRESSO input format:
```
&SYSTEM
  ibrav = 0, nat = 10, ntyp = 3
/
ATOMIC_SPECIES
Nd 144.24 Nd.upf
Dy 162.50 Dy.upf
Ho 164.93 Ho.upf
ATOMIC_POSITIONS crystal
Nd 0.0000 0.2161 0.7840
Dy 0.5000 0.2947 0.7053
Nd 0.5000 0.7087 0.9331
Nd 0.5000 0.9331 0.7087
Ho 0.0000 0.0000 0.0000
Nd 0.5000 0.2913 0.0669
Nd 0.0000 0.7839 0.2160
Nd 0.5000 0.5000 0.5000
Nd 0.5000 0.0669 0.2913
Dy 0.5000 0.7053 0.2947
CELL_PARAMETERS angstrom
-0.8765 0.6351 5.5189
8.5697 -3.5246 1.7665
-1.7787 9.1669 -1.3373
```


Entry 6:
First-principles (PBE) data for a relaxed structure of LiCaB3, as listed in Alexandria. Values from VASP.

Output
- distance to the lowest polymorph of the same formula (meV/atom) = 1073
- energy of formation (meV per atom) = 2398
- total moment (μB per cell) = 0.00

The structure in Quantum ESPRESSO input format:
```
&SYSTEM
  ibrav = 0, nat = 5, ntyp = 3
/
ATOMIC_SPECIES
Li 6.94 Li.upf
Ca 40.08 Ca.upf
B 10.81 B.upf
ATOMIC_POSITIONS crystal
Li 0.5000 0.5000 0.5000
Ca 0.0000 0.0000 0.0000
B 0.0000 0.0000 0.5000
B 0.5000 0.0000 0.0000
B 0.0000 0.5000 0.0000
CELL_PARAMETERS angstrom
-4.7845 -0.2876 -0.7527
-0.7045 -0.7066 4.7482
-0.3910 4.7915 0.6550
```


Entry 7:
First-principles (PBE) data for a relaxed structure of Mg2CdRe, as listed in Alexandria. Values from VASP.

Output
- energy of formation (meV per atom) = 425
- total moment (μB per cell) = 0.00

The structure in Quantum ESPRESSO input format:
```
&SYSTEM
  ibrav = 0, nat = 4, ntyp = 3
/
ATOMIC_SPECIES
Mg 24.30 Mg.upf
Cd 112.41 Cd.upf
Re 186.21 Re.upf
ATOMIC_POSITIONS crystal
Mg 0.0000 0.0000 0.0000
Mg 0.2500 0.7500 0.5000
Cd 0.7500 0.2500 0.5000
Re 0.5000 0.5000 0.0000
CELL_PARAMETERS angstrom
5.2399 -0.0091 0.0000
2.1490 4.7790 0.0000
-3.6945 -2.3849 2.8495
```


Entry 8:
First-principles (PBE) data for a relaxed structure of NaHg6, as listed in Alexandria. Values from VASP.

Output
- distance to the lowest polymorph of the same formula (meV/atom) = 6
- energy of formation (meV per atom) = -96
- total moment (μB per cell) = 0.00

The structure in Quantum ESPRESSO input format:
```
&SYSTEM
  ibrav = 0, nat = 7, ntyp = 2
/
ATOMIC_SPECIES
Hg 200.59 Hg.upf
Na 22.99 Na.upf
ATOMIC_POSITIONS crystal
Hg 0.0000 0.5000 0.2646
Na 0.0000 0.0000 0.0000
Hg 0.0000 0.5000 0.7354
Hg 0.5000 0.0000 0.2646
Hg 0.0000 0.0000 0.5000
Hg 0.5000 0.5000 0.0000
Hg 0.5000 0.0000 0.7354
CELL_PARAMETERS angstrom
-2.0979 -4.2066 1.0436
4.3336 -2.0174 0.5796
-0.1217 2.1001 8.2202
```


Entry 9:
First-principles (PBE) data for a relaxed structure of Li3SmPd4O12, as listed in Alexandria. Values from VASP.

Output
- total moment (μB per cell) = 2.12
- total energy (eV/atom) = -5.54

The structure in Quantum ESPRESSO input format:
```
&SYSTEM
  ibrav = 0, nat = 20, ntyp = 4
/
ATOMIC_SPECIES
Pd 106.42 Pd.upf
O 16.00 O.upf
Li 6.94 Li.upf
Sm 150.36 Sm.upf
ATOMIC_POSITIONS crystal
Pd 0.0000 0.0000 0.5000
O 0.1687 0.8717 0.7030
Li 0.0000 0.5000 0.5000
Sm 0.0000 0.0000 0.0000
O 0.4657 0.2970 0.1687
Pd 0.5000 0.0000 0.0000
O 0.7030 0.1687 0.8717
O 0.8313 0.5343 0.7030
O 0.2970 0.8313 0.1283
Li 0.5000 0.0000 0.5000
O 0.1283 0.2970 0.8313
O 0.7030 0.8313 0.5343
O 0.8313 0.1283 0.2970
O 0.5343 0.7030 0.8313
Pd 0.0000 0.5000 0.0000
O 0.8717 0.7030 0.1687
O 0.1687 0.4657 0.2970
Pd 0.5000 0.5000 0.5000
O 0.2970 0.1687 0.4657
Li 0.5000 0.5000 0.0000
CELL_PARAMETERS angstrom
6.5555 0.0000 0.0000
-2.1852 6.1806 0.0000
-2.1852 -3.0903 5.3525
```


Entry 10:
First-principles (PBE) data for a relaxed structure of Cu2MoHPt, as listed in Alexandria. Values from VASP.

Output
- distance to the lowest polymorph of the same formula (meV/atom) = 819
- total moment (μB per cell) = 0.00

The structure in Quantum ESPRESSO input format:
```
&SYSTEM
  ibrav = 0, nat = 5, ntyp = 4
/
ATOMIC_SPECIES
Pt 195.08 Pt.upf
Cu 63.55 Cu.upf
Mo 95.94 Mo.upf
H 1.01 H.upf
ATOMIC_POSITIONS crystal
Pt 0.5000 0.5000 0.5000
Cu 0.0000 0.0000 0.5000
Mo 0.0000 0.0000 0.0000
H 0.0000 0.5000 0.0000
Cu 0.5000 0.0000 0.0000
CELL_PARAMETERS angstrom
-2.7745 1.1851 -3.6091
1.2202 -2.3931 -1.7238
-3.3460 -2.8782 1.6272
```


Entry 11:
First-principles (PBE) data for a relaxed structure of Nd2GaC, as listed in Alexandria. Values from VASP.

Output
- energy of formation (meV per atom) = 15
- total moment (μB per cell) = 0.00

The structure in Quantum ESPRESSO input format:
```
&SYSTEM
  ibrav = 0, nat = 4, ntyp = 3
/
ATOMIC_SPECIES
Nd 144.24 Nd.upf
Ga 69.72 Ga.upf
C 12.01 C.upf
ATOMIC_POSITIONS crystal
Nd 0.8845 0.8845 0.3465
Ga 0.0000 0.0000 0.0000
C 0.5000 0.5000 0.5000
Nd 0.1155 0.1155 0.6535
CELL_PARAMETERS angstrom
3.6457 0.0000 0.0000
1.8228 3.1573 0.0000
1.8228 1.0524 9.1788
```


Entry 12:
First-principles (PBE) data for a relaxed structure of CaZrCr, as listed in Alexandria. Values from VASP.

Output
- distance to the lowest polymorph of the same formula (meV/atom) = 243
- energy of formation (meV per atom) = 682
- total moment (μB per cell) = 2.89

The structure in Quantum ESPRESSO input format:
```
&SYSTEM
  ibrav = 0, nat = 3, ntyp = 3
/
ATOMIC_SPECIES
Ca 40.08 Ca.upf
Zr 91.22 Zr.upf
Cr 52.00 Cr.upf
ATOMIC_POSITIONS crystal
Ca 0.0000 0.0000 0.0398
Zr 0.3333 0.6667 0.6250
Cr 0.6667 0.3333 0.3353
CELL_PARAMETERS angstrom
-1.4216 4.8293 0.1660
-0.2970 -2.8564 4.1381
2.9428 0.8391 0.7904
```


Please write out number 2 again, unchanged.
First-principles (PBE) data for a relaxed structure of PuThCd4, as listed in Alexandria. Values from VASP.

Output
- distance to the lowest polymorph of the same formula (meV/atom) = 0
- energy of formation (meV per atom) = -136
- total moment (μB per cell) = 12.73

The structure in Quantum ESPRESSO input format:
```
&SYSTEM
  ibrav = 0, nat = 12, ntyp = 3
/
ATOMIC_SPECIES
Cd 112.41 Cd.upf
Pu 244.00 Pu.upf
Th 232.04 Th.upf
ATOMIC_POSITIONS crystal
Cd 0.2500 0.2852 0.4162
Pu 0.7500 0.1264 0.2472
Cd 0.2500 0.9604 0.0827
Cd 0.7500 0.7148 0.5838
Cd 0.7500 0.0396 0.9173
Th 0.2500 0.3769 0.7463
Cd 0.7500 0.2014 0.5838
Cd 0.2500 0.4570 0.0827
Cd 0.2500 0.7986 0.4162
Th 0.7500 0.6231 0.2537
Pu 0.2500 0.8736 0.7528
Cd 0.7500 0.5430 0.9173
CELL_PARAMETERS angstrom
5.1690 -0.0015 0.0006
0.0016 6.0529 2.1943
-0.0011 -0.0204 9.5018
```